A plane-wave DFT calculation with GGA-PBE was carried out for crystalline Zr3AlSi at its relaxed geometry.

Cell: 4.9152 4.9152 4.9152 Å, 90.00 90.00 90.00°
Closest atoms and distances in Å follow each position.
Atoms (fractional coordinates):
Si 0.0000 0.0000 0.0000  6 Zr 2.46
Al 0.5000 0.5000 0.5000  12 Zr 3.48
Zr 0.0000 0.5000 0.0000  2 Si 2.46
Zr 0.0000 0.0000 0.5000  2 Si 2.46
Zr 0.5000 0.0000 0.0000  2 Si 2.46

Properties
Space-group type: Pm-3m, No. 221
Final energy in Ry/atom: -0.5086
Energy above the lowest structure with this stoichiometry in eV per formula unit: 2.19
Density in g cm⁻³: 4.60


A plane-wave DFT calculation with GGA-PBE was carried out for crystalline ZrAl5Si at its relaxed geometry.

Cell: 3.9750 3.9750 8.0612 Å, 90.00 90.00 90.00°
Closest atoms and distances in Å follow each position.
Atoms (fractional coordinates):
Zr 0.0000 0.0000 0.0000  12 Al 2.81-2.97
Al 0.5000 0.5000 0.0000  4 Zr 2.81, 8 Al 2.97
Al 0.0000 0.5000 0.2734  2 Si 2.70, 6 Al 2.81-2.97, 2 Zr 2.97
Al 0.5000 0.0000 0.2734  2 Si 2.70, 6 Al 2.81-2.97, 2 Zr 2.97
Al 0.0000 0.5000 0.7266  2 Si 2.70, 6 Al 2.81-2.97, 2 Zr 2.97
Al 0.5000 0.0000 0.7266  2 Si 2.70, 6 Al 2.81-2.97, 2 Zr 2.97
Si 0.0000 0.0000 0.5000  8 Al 2.70

Properties
Space-group type: P4/mmm, No. 123
Final energy in Ry/atom: -0.3499
Energy above the lowest structure with this stoichiometry in eV per formula unit: 0.00
Density in g cm⁻³: 3.31